YSc2Ag: optimized geometry, PBE.

Computed properties:
Energy relative to the lowest polymorph listed for this composition, eV per formula unit: 0.15
DOS at the Fermi energy, states/eV/atom: 1.5658
Magnetic moment, μB per formula unit: 0.00
Space group: Imm2, No. 44
E_form, eV per atom: -0.077

abc: 6.142 6.142 5.053
angles: 65.70 65.70 34.32
Element x y z (fractional)
Sc 0.747 0.747 0.753
Y 0.526 0.526 0.474
Ag 0.259 0.259 0.241
Sc 0.968 0.968 0.032